This record from the Alexandria database describes a geometry-optimized CsSr2HoBr8 structure. The functional is PBE.

The structure in POSCAR format:
```
CsSr2HoBr8
1.0
6.978 0.000 0.000
0.058 7.190 0.000
0.013 0.006 9.704
Cs Sr Ho Br
1 2 1 8
direct
0.000 0.000 0.000
0.500 0.500 0.252
0.500 0.500 0.748
0.000 0.000 0.500
0.234 0.840 0.700
0.235 0.841 0.300
0.250 0.319 0.500
0.264 0.400 0.000
0.736 0.600 0.000
0.750 0.681 0.500
0.765 0.159 0.700
0.766 0.160 0.300
```

Results
**ρ**: 3.794 g/cm³
**Raw total energy**: -45.54 eV per cell
**Calculated volume**: 486.8 Å³/cell

This record from the Alexandria database describes a geometry-optimized Pm4Pr3Sm5 structure. The functional is PBE.

The structure in POSCAR format:
```
Pm4Pr3Sm5
1.0
8.185 -3.038 0.000
8.185 3.038 0.000
-4.137 0.000 8.504
Pm Pr Sm
4 3 5
direct
0.083 0.083 0.442
0.210 0.210 0.877
0.790 0.790 0.123
0.917 0.917 0.558
0.208 0.208 0.227
0.500 0.500 0.000
0.792 0.792 0.773
0.000 0.000 0.000
0.328 0.328 0.611
0.427 0.427 0.302
0.573 0.573 0.698
0.672 0.672 0.389
```

Results
**Excess energy over the best structure of this formula in the dataset**: 192 meV per atom
**ρ**: 6.889 g/cm³
**Energy of formation**: 205 meV/atom
**Calculated volume**: 422.9 Å³/cell

This record from the Alexandria database describes a geometry-optimized NaNbP2 structure. The functional is PBE.

The structure in POSCAR format:
```
NaNbP2
1.0
0.000 3.208 3.208
3.208 0.000 3.208
3.208 3.208 0.000
Na Nb P
1 1 2
direct
0.000 0.000 0.000
0.500 0.500 0.500
0.250 0.250 0.250
0.750 0.750 0.750
```

Results
**Excess energy over the best structure of this formula in the dataset**: 476 meV per atom
**ρ**: 4.471 g/cm³
**Energy of formation**: -14 meV/atom
**Calculated volume**: 66.1 Å³/cell

Number 3 is which compound? NaNbP2

The lowest calculated volume belongs to which entry? NaNbP2

Which of these has the lowest ρ? CsSr2HoBr8